Record 1
First-principles (GGA-PBE) data for an optimized crystal structure of ErPd3, as listed in the Alexandria database.

Theoretical density (Mg/m³): 11.69
Density of states at the Fermi level (states/eV per cell): 3.15
Energy relative to the elements (eV per atom): -0.896
Space-group type: No. 221

Cell: 4.1017 4.1061 4.1047 Å, 90.00 90.00 90.00°
Last column: nearest neighbours and their distance in Å.
Fractional positions:
Pd 0.0000 0.0000 0.0834  4 Er 2.90, 8 Pd 2.90
Pd 0.0000 0.5000 0.5833  8 Pd 2.90, 4 Er 2.90
Pd 0.5000 0.5000 0.0833  8 Pd 2.90, 4 Er 2.90
Er 0.5000 0.0000 0.5833  12 Pd 2.90

***

Record 2
First-principles (GGA-PBE) data for an optimized crystal structure of Er5Pd3, as listed in the Alexandria database.

Theoretical density (Mg/m³): 9.93
Density of states at the Fermi level (states/eV per cell): 33.62
Energy relative to the elements (eV per atom): -0.718
Space-group type: No. 130

Cell: 6.3269 11.0539 11.0539 Å, 90.00 90.00 90.00°
Last column: nearest neighbours and their distance in Å.
Fractional positions:
Er 0.3698 0.2910 0.0888  5 Pd 2.93-3.18
Er 0.8698 0.2910 0.9112  5 Pd 2.93-3.18
Er 0.8698 0.7090 0.0888  5 Pd 2.93-3.18
Er 0.3698 0.7090 0.9112  5 Pd 2.93-3.18
Er 0.8698 0.5888 0.7910  5 Pd 2.93-3.18
Er 0.3698 0.5888 0.2090  5 Pd 2.93-3.18
Er 0.3698 0.4112 0.7910  5 Pd 2.93-3.18
Er 0.8698 0.4112 0.2090  5 Pd 2.93-3.18
Er 0.6302 0.2090 0.4112  5 Pd 2.93-3.18
Er 0.1302 0.2090 0.5888  5 Pd 2.93-3.18
Er 0.1302 0.7910 0.4112  5 Pd 2.93-3.18
Er 0.6302 0.7910 0.5888  5 Pd 2.93-3.18
Er 0.1302 0.9112 0.7090  5 Pd 2.93-3.18
Er 0.6302 0.9112 0.2910  5 Pd 2.93-3.18
Er 0.6302 0.0888 0.7090  5 Pd 2.93-3.18
Er 0.1302 0.0888 0.2910  5 Pd 2.93-3.18
Er 0.5000 0.0000 0.0000  4 Pd 2.90, 2 Er 3.16
Er 0.0000 0.0000 0.0000  4 Pd 2.90, 2 Er 3.16
Er 0.0000 0.5000 0.5000  4 Pd 2.90, 2 Er 3.16
Er 0.5000 0.5000 0.5000  4 Pd 2.90, 2 Er 3.16
Pd 0.2500 0.8446 0.1554  8 Er 2.90-3.18
Pd 0.7500 0.8446 0.8446  8 Er 2.90-3.18
Pd 0.7500 0.1554 0.1554  8 Er 2.90-3.18
Pd 0.2500 0.1554 0.8446  8 Er 2.90-3.18
Pd 0.7500 0.6554 0.3446  8 Er 2.90-3.18
Pd 0.2500 0.6554 0.6554  8 Er 2.90-3.18
Pd 0.2500 0.3446 0.3446  8 Er 2.90-3.18
Pd 0.7500 0.3446 0.6554  8 Er 2.90-3.18
Pd 0.1118 0.5000 0.0000  8 Er 2.94-2.99, 2 Pd 3.16
Pd 0.6118 0.5000 0.0000  8 Er 2.94-2.99, 2 Pd 3.16
Pd 0.8882 0.0000 0.5000  8 Er 2.94-2.99, 2 Pd 3.16
Pd 0.3882 0.0000 0.5000  8 Er 2.94-2.99, 2 Pd 3.16

***

Record 3
First-principles (GGA-PBE) data for an optimized crystal structure of Er4Pd3, as listed in the Alexandria database.

Theoretical density (Mg/m³): 9.96
Density of states at the Fermi level (states/eV per cell): 5.10
Energy relative to the elements (eV per atom): -0.752
Space-group type: No. 166

Cell: 4.8796 4.8796 8.4746 Å, 73.27 73.27 60.00°
Last column: nearest neighbours and their distance in Å.
Fractional positions:
Er 0.6245 0.6245 0.1265  7 Pd 2.99-3.03
Er 0.8747 0.8747 0.3760  5 Pd 2.97-3.01
Er 0.1253 0.1253 0.6240  5 Pd 2.97-3.01
Er 0.3755 0.3755 0.8735  7 Pd 2.99-3.03
Pd 0.2492 0.2492 0.2525  8 Er 2.97-3.03
Pd 0.7508 0.7508 0.7475  8 Er 2.97-3.03
Pd 0.0000 0.0000 0.0000  8 Er 2.99-3.01